Here is a relaxed structure of Rb4Sm3CoO8 from Alexandria via LeMat-Bulk. Energies are from GGA+U.

Structure (POSCAR):
```
Rb4Sm3CoO8
1.0
6.014 -3.585 0.000
6.014 3.585 0.000
-4.040 0.000 6.565
Rb Sm Co O
4 3 1 8
direct
0.000 0.000 0.000 Rb
0.000 0.500 0.000 Rb
0.500 0.000 0.000 Rb
0.500 0.500 0.000 Rb
0.000 0.000 0.500 Sm
0.000 0.500 0.500 Sm
0.500 0.000 0.500 Sm
0.500 0.500 0.500 Co
0.222 0.735 0.689 O
0.230 0.230 0.680 O
0.265 0.778 0.311 O
0.311 0.311 0.347 O
0.689 0.689 0.653 O
0.735 0.222 0.689 O
0.770 0.770 0.320 O
0.778 0.265 0.311 O
```

The value obtained for the total energy is -6.057 eV per atom.